Record 1
A relaxed structure of AcTb2YAs4. Source: Alexandria, functional GGA-PBE.

Results
Crystal system: monoclinic
Symmetry: P2/m, No. 10
D(E_F) in states/eV per atom: 0.101
Energy of formation from the pure elements in kJ/mol of formula units: -1146
V in Å³ per cell: 216.6

Lattice parameters (Å, degrees): 4.2462 7.3543 7.3519 70.62 90.00 90.00
With the nearest neighbours (Å) after each atom.
Atoms (fractional coordinates):
Ac: 0.5000 0.5000 0.0000  6 As 3.09-3.10
Tb: 0.0000 0.0000 0.0000  6 As 3.01
Tb: 0.5000 0.0000 0.5000  6 As 2.91-2.92
Y: 0.0000 0.5000 0.5000  6 As 3.00
As: 0.0000 0.7647 0.7349  3 Tb 2.92-3.01, 1 Y 3.00, 2 Ac 3.10
As: 0.0000 0.2353 0.2651  3 Tb 2.92-3.01, 1 Y 3.00, 2 Ac 3.10
As: 0.5000 0.7569 0.2574  3 Tb 2.91-3.01, 2 Y 3.00, 1 Ac 3.09
As: 0.5000 0.2431 0.7426  3 Tb 2.91-3.01, 2 Y 3.00, 1 Ac 3.09

***

Record 2
A relaxed structure of K2MnBPt. Source: Alexandria, functional GGA-PBE.

Results
Crystal system: tetragonal
Symmetry: P4/mmm, No. 123
D(E_F) in states/eV per atom: 0.927
Energy of formation from the pure elements in kJ/mol of formula units: 332
V in Å³ per cell: 162.3

Lattice parameters (Å, degrees): 6.3664 4.0041 6.3664 90.00 90.00 90.00
With the nearest neighbours (Å) after each atom.
Atoms (fractional coordinates):
K: 0.0000 0.0000 0.5000  2 Pt 3.18
K: 0.5000 0.0000 0.0000  2 Pt 3.18
Mn: 0.5000 0.5000 0.5000  8 K 3.76, 2 Mn 4.00
B: 0.0000 0.5000 0.0000  2 Pt 2.00
Pt: 0.0000 0.0000 0.0000  2 B 2.00

***

Record 3
A relaxed structure of MnAsIr3. Source: Alexandria, functional GGA-PBE.

Results
Crystal system: cubic
Symmetry: Pm-3m, No. 221
Relative energy among the computed polymorphs in eV per atom: 0.0000
D(E_F) in states/eV per atom: 1.147
Energy of formation from the pure elements in kJ/mol of formula units: 659
V in Å³ per cell: 90.0

Lattice parameters (Å, degrees): 4.4814 4.4814 4.4814 90.00 90.00 90.00
With the nearest neighbours (Å) after each atom.
Atoms (fractional coordinates):
As: 0.5000 0.5000 0.5000  12 Ir 3.17
Ir: 0.0000 0.5000 0.0000  2 Mn 2.24
Ir: 0.0000 0.0000 0.5000  2 Mn 2.24
Ir: 0.5000 0.0000 0.0000  2 Mn 2.24
Mn: 0.0000 0.0000 0.0000  6 Ir 2.24

***

- Which of these has the lowest D(E_F)?
  AcTb2YAs4

***

- The highest energy of formation from the pure elements belongs to which entry?
  MnAsIr3

***

- energy of formation from the pure elements of number 2 (K2MnBPt)?
  332 kJ/mol of formula units